# GGA-PBEsol TcAs2Cl, relaxed
# E above lowest polymorph	728	meV/atom
# energy relative to the elements, uncorrected	0.614	eV per atom
# magnetization	0.449	μB per atom
# DFT total energy	-5.258	eV/atom
data_TcAs2Cl
_cell_length_a 6.4216
_cell_length_b 6.4216
_cell_length_c 6.4216
_cell_angle_alpha 90.00
_cell_angle_beta 90.00
_cell_angle_gamma 90.00
_symmetry_space_group_name_H-M 'F m -3 m'
_symmetry_Int_Tables_number 225
_symmetry_space_group_name_Hall '-F 4 2 3'
loop_
_atom_site_label
_atom_site_type_symbol
_atom_site_fract_x
_atom_site_fract_y
_atom_site_fract_z
_atom_site_occupancy
Tc1 Tc 0.0000 0.0000 0.0000 1
As1 As 0.2500 0.2500 0.2500 1
Cl1 Cl 0.0000 0.0000 0.5000 1


# GGA-PBEsol TcAsCl, relaxed
# E above lowest polymorph	144	meV/atom
# energy relative to the elements, uncorrected	0.043	eV per atom
# magnetization	0.176	μB per atom
# DFT total energy	-6.084	eV/atom
data_TcAsCl
_cell_length_a 3.1969
_cell_length_b 3.1969
_cell_length_c 12.0847
_cell_angle_alpha 90.00
_cell_angle_beta 90.00
_cell_angle_gamma 90.00
_symmetry_space_group_name_H-M 'I 4 m m'
_symmetry_Int_Tables_number 107
_symmetry_space_group_name_Hall 'I 4 -2'
loop_
_atom_site_label
_atom_site_type_symbol
_atom_site_fract_x
_atom_site_fract_y
_atom_site_fract_z
_atom_site_occupancy
Tc1 Tc 0.0000 0.0000 0.0000 1
As1 As 0.0000 0.0000 0.4197 1
Cl1 Cl 0.0000 0.0000 0.1855 1